(1)
First-principles (PBE-GGA) data for crystalline AcFeCo at its relaxed geometry, as listed in Alexandria via LeMat-Bulk.

Geometry as POSCAR:
```
AcFeCo
1.0
5.627 0.000 0.000
-2.814 8.199 0.000
0.000 0.000 5.630
Co Fe Ac
4 4 4
direct
0.582 0.164 0.500
0.918 0.836 0.000
0.418 0.836 0.500
0.082 0.164 0.000
0.250 0.000 0.250
0.250 0.000 0.750
0.750 0.000 0.750
0.750 0.000 0.250
0.843 0.687 0.500
0.657 0.313 0.000
0.157 0.313 0.500
0.343 0.687 0.000
```

## Properties
Size of the total moment ... 1.147 μB/atom
Theoretical density ... 8.74 g/cm3
Energy ... -77.792 eV per cell
Volume ... 21.6 Å³/atom
Space group ... I4/mmm, No. 139

---

(2)
First-principles (PBE-GGA) data for crystalline Er3Ag3IO8 at its relaxed geometry, as listed in Alexandria via LeMat-Bulk.

Geometry as POSCAR:
```
Er3Ag3IO8
1.0
6.718 0.000 0.000
-3.359 6.173 0.737
0.000 -3.441 5.450
Er Ag I O
3 3 1 8
direct
0.500 0.000 0.500
0.500 0.500 0.500
0.000 0.500 0.500
0.000 0.000 0.000
0.000 0.500 0.000
0.500 0.500 0.000
0.000 0.000 0.500
0.299 0.597 0.323
0.701 0.403 0.677
0.757 0.515 0.274
0.243 0.485 0.726
0.814 0.090 0.328
0.186 0.910 0.672
0.276 0.090 0.328
0.724 0.910 0.672
```

## Properties
Size of the total moment ... 0.069 μB/atom
Theoretical density ... 7.38 g/cm3
Energy ... -88.775 eV per cell
Volume ... 16.2 Å³/atom
Space group ... C2/m, No. 12

---

(3)
First-principles (PBE-GGA) data for crystalline RbMg2B at its relaxed geometry, as listed in Alexandria via LeMat-Bulk.

Geometry as POSCAR:
```
RbMg2B
1.0
5.511 -0.012 -0.012
-2.734 6.395 0.005
-2.762 -1.825 6.524
Mg B Rb
4 2 2
direct
0.835 0.378 0.872
0.016 0.817 0.792
0.502 0.940 0.645
0.317 0.498 0.716
0.024 0.158 0.756
0.311 0.158 0.756
0.792 0.935 0.229
0.534 0.365 0.283
```

## Properties
Size of the total moment ... 0.000 μB/atom
Theoretical density ... 2.10 g/cm3
Energy ... -19.311 eV per cell
Volume ... 28.7 Å³/atom
Space group ... P1, No. 1

---

(4)
First-principles (PBE-GGA) data for crystalline MgInBiCl6 at its relaxed geometry, as listed in Alexandria via LeMat-Bulk.

Geometry as POSCAR:
```
MgInBiCl6
1.0
6.892 0.000 0.000
-3.446 5.969 0.000
0.000 0.000 13.953
Mg In Bi Cl
2 2 2 12
direct
0.333 0.667 0.250
0.667 0.333 0.750
0.000 0.000 0.000
0.000 0.000 0.500
0.667 0.333 0.250
0.333 0.667 0.750
0.619 0.641 0.143
0.022 0.381 0.143
0.381 0.022 0.643
0.978 0.619 0.857
0.359 0.381 0.357
0.022 0.641 0.357
0.641 0.022 0.857
0.619 0.978 0.357
0.978 0.359 0.643
0.359 0.978 0.143
0.641 0.619 0.643
0.381 0.359 0.857
```

## Properties
Size of the total moment ... 0.000 μB/atom
Theoretical density ... 3.24 g/cm3
Energy ... -61.170 eV per cell
Volume ... 31.9 Å³/atom
Space group ... P-31c, No. 163

---

(5)
First-principles (PBE-GGA) data for crystalline Nb4CdNi2 at its relaxed geometry, as listed in Alexandria via LeMat-Bulk.

Geometry as POSCAR:
```
Nb4CdNi2
1.0
-0.098 -1.674 -4.606
3.172 -3.534 1.217
-3.183 -6.339 -0.237
Ni Nb Cd
2 4 1
direct
0.595 0.595 0.810
0.405 0.405 0.190
0.779 0.779 0.442
0.221 0.221 0.558
0.000 0.500 0.000
0.500 0.000 0.000
0.000 0.000 0.000
```

## Properties
Size of the total moment ... 0.000 μB/atom
Theoretical density ... 6.71 g/cm3
Energy ... -42.500 eV per cell
Volume ... 21.3 Å³/atom
Space group ... I4/mmm, No. 139

---

(6)
First-principles (PBE-GGA) data for crystalline Na2Zr2N3 at its relaxed geometry, as listed in Alexandria via LeMat-Bulk.

Geometry as POSCAR:
```
Na2Zr2N3
1.0
3.250 -0.002 0.000
-1.619 5.530 -0.820
0.006 0.015 6.137
Na Zr N
2 2 3
direct
0.862 0.724 0.607
0.138 0.276 0.393
0.632 0.263 0.921
0.368 0.737 0.079
0.000 0.000 0.000
0.760 0.520 0.201
0.240 0.480 0.799
```

## Properties
Size of the total moment ... 0.000 μB/atom
Theoretical density ... 4.07 g/cm3
Energy ... -51.391 eV per cell
Volume ... 15.8 Å³/atom
Space group ... P-1, No. 2

---

(7)
First-principles (PBE-GGA) data for crystalline CuNiSb4 at its relaxed geometry, as listed in Alexandria via LeMat-Bulk.

Geometry as POSCAR:
```
CuNiSb4
1.0
0.000 4.291 4.291
4.291 0.000 4.291
4.291 4.291 0.000
Cu Ni Sb
1 1 4
direct
0.750 0.750 0.750
0.000 0.000 0.000
0.375 0.874 0.375
0.874 0.375 0.375
0.375 0.375 0.874
0.375 0.375 0.375
```

## Properties
Size of the total moment ... 0.117 μB/atom
Theoretical density ... 6.40 g/cm3
Energy ... -20.943 eV per cell
Volume ... 26.3 Å³/atom
Space group ... F-43m, No. 216

---

(8)
First-principles (PBE-GGA) data for crystalline Pm4PHS2 at its relaxed geometry, as listed in Alexandria via LeMat-Bulk.

Geometry as POSCAR:
```
Pm4PHS2
1.0
-0.319 5.615 0.670
-5.431 -0.491 1.530
4.455 -3.121 4.330
Pm P H S
4 1 1 2
direct
0.998 0.498 0.997
0.502 0.002 0.003
0.756 0.756 0.511
0.244 0.244 0.489
0.750 0.250 0.500
0.500 0.500 0.000
0.250 0.750 0.500
0.000 0.000 0.000
```

## Properties
Size of the total moment ... 0.000 μB/atom
Theoretical density ... 6.16 g/cm3
Energy ... -47.647 eV per cell
Volume ... 22.8 Å³/atom
Space group ... I-4m2, No. 119

---

(9)
First-principles (PBE-GGA) data for crystalline Y2Tm6Th3 at its relaxed geometry, as listed in Alexandria via LeMat-Bulk.

Geometry as POSCAR:
```
Y2Tm6Th3
1.0
-0.843 -1.913 5.753
-1.035 -5.930 1.133
10.152 -3.625 6.771
Y Tm Th
2 6 3
direct
0.166 0.667 0.500
0.834 0.333 0.500
0.577 0.669 0.753
0.914 0.000 0.753
0.246 0.331 0.753
0.086 0.000 0.247
0.423 0.331 0.247
0.754 0.669 0.247
0.000 0.000 0.000
0.333 0.333 0.000
0.667 0.667 0.000
```

## Properties
Size of the total moment ... 0.000 μB/atom
Theoretical density ... 8.64 g/cm3
Energy ... -60.183 eV per cell
Volume ... 33.0 Å³/atom
Space group ... C2/m, No. 12

---

(10)
First-principles (PBE-GGA) data for crystalline AcCe2Sn2Hg2 at its relaxed geometry, as listed in Alexandria via LeMat-Bulk.

Geometry as POSCAR:
```
AcCe2Sn2Hg2
1.0
-1.343 -4.746 0.541
3.465 -3.536 0.334
0.857 -1.709 9.889
Ac Ce Sn Hg
1 2 2 2
direct
0.000 0.000 0.000
0.142 0.142 0.573
0.858 0.858 0.427
0.735 0.735 0.796
0.265 0.265 0.204
0.567 0.567 0.298
0.433 0.433 0.702
```

## Properties
Size of the total moment ... 0.416 μB/atom
Theoretical density ... 9.24 g/cm3
Energy ... -26.955 eV per cell
Volume ... 29.4 Å³/atom
Space group ... R-3m, No. 166

---

(11)
First-principles (PBE-GGA) data for crystalline Ba2HoCd3Hg12 at its relaxed geometry, as listed in Alexandria via LeMat-Bulk.

Geometry as POSCAR:
```
Ba2HoCd3Hg12
1.0
12.530 3.168 2.247
8.943 9.331 2.247
8.943 5.206 8.063
Ba Ho Cd Hg
2 1 3 12
direct
0.637 0.637 0.637
0.363 0.363 0.363
0.000 0.000 0.000
0.500 0.000 0.000
0.000 0.500 0.000
0.000 0.000 0.500
0.407 0.407 0.844
0.882 0.882 0.404
0.404 0.882 0.882
0.844 0.407 0.407
0.882 0.404 0.882
0.407 0.844 0.407
0.593 0.593 0.156
0.118 0.118 0.596
0.596 0.118 0.118
0.156 0.593 0.593
0.118 0.596 0.118
0.593 0.156 0.593
```

## Properties
Size of the total moment ... 0.000 μB/atom
Theoretical density ... 9.64 g/cm3
Energy ... -17.855 eV per cell
Volume ... 30.5 Å³/atom
Space group ... R-3m, No. 166

---

(12)
First-principles (PBE-GGA) data for crystalline Na2CuPd at its relaxed geometry, as listed in Alexandria via LeMat-Bulk.

Geometry as POSCAR:
```
Na2CuPd
1.0
-1.391 -4.547 -0.217
-0.952 -2.391 4.004
-4.490 -1.168 1.064
Na Cu Pd
2 1 1
direct
0.250 0.250 0.250
0.750 0.750 0.750
0.000 0.000 0.000
0.500 0.500 0.500
```

## Properties
Size of the total moment ... 0.000 μB/atom
Theoretical density ... 4.70 g/cm3
Energy ... -11.060 eV per cell
Volume ... 19.1 Å³/atom
Space group ... Fm-3m, No. 225

---

(13)
First-principles (PBE-GGA) data for crystalline BaLiTl2Au at its relaxed geometry, as listed in Alexandria via LeMat-Bulk.

Geometry as POSCAR:
```
BaLiTl2Au
1.0
5.206 0.000 0.000
0.000 5.206 0.000
0.000 0.000 5.175
Tl Au Ba Li
2 1 1 1
direct
0.000 0.500 0.000
0.500 0.000 0.000
0.000 0.000 0.500
0.500 0.500 0.500
0.000 0.000 0.000
```

## Properties
Size of the total moment ... 0.000 μB/atom
Theoretical density ... 8.88 g/cm3
Energy ... -13.245 eV per cell
Volume ... 28.1 Å³/atom
Space group ... P4/mmm, No. 123

---

(14)
First-principles (PBE-GGA) data for crystalline CoBP2 at its relaxed geometry, as listed in Alexandria via LeMat-Bulk.

Geometry as POSCAR:
```
CoBP2
1.0
4.923 0.000 0.000
0.000 4.923 0.000
2.462 2.462 4.417
P B Co
4 2 2
direct
0.590 0.125 0.250
0.160 0.625 0.250
0.375 0.410 0.750
0.875 0.840 0.750
0.500 0.500 0.000
0.250 0.750 0.500
0.000 0.000 0.000
0.750 0.250 0.500
```

## Properties
Size of the total moment ... 0.000 μB/atom
Theoretical density ... 4.08 g/cm3
Energy ... -50.257 eV per cell
Volume ... 13.4 Å³/atom
Space group ... I-42d, No. 122

---

(15)
First-principles (PBE-GGA) data for crystalline HgC4F6 at its relaxed geometry, as listed in Alexandria via LeMat-Bulk.

Geometry as POSCAR:
```
HgC4F6
1.0
-5.098 -2.767 -4.210
-4.108 -1.934 2.536
-4.709 3.596 -1.136
C F Hg
4 6 1
direct
0.187 0.603 0.134
0.813 0.397 0.866
0.260 0.548 0.319
0.740 0.452 0.681
0.244 0.370 0.024
0.756 0.630 0.976
0.379 0.292 0.406
0.621 0.708 0.594
0.220 0.751 0.443
0.780 0.249 0.557
0.000 0.000 0.000
```

## Properties
Size of the total moment ... 0.000 μB/atom
Theoretical density ... 3.31 g/cm3
Energy ... -57.120 eV per cell
Volume ... 16.5 Å³/atom
Space group ... P-1, No. 2

---

(16)
First-principles (PBE-GGA) data for crystalline KTl2Ag at its relaxed geometry, as listed in Alexandria via LeMat-Bulk.

Geometry as POSCAR:
```
KTl2Ag
1.0
-2.081 -0.688 -5.068
-4.326 -2.683 2.140
-8.220 7.096 -0.596
Tl K Ag
4 2 2
direct
0.770 0.125 0.250
0.980 0.625 0.250
0.375 0.230 0.750
0.875 0.020 0.750
0.500 0.500 0.000
0.250 0.750 0.500
0.000 0.000 0.000
0.750 0.250 0.500
```

## Properties
Size of the total moment ... 0.000 μB/atom
Theoretical density ... 5.96 g/cm3
Energy ... -16.349 eV per cell
Volume ... 38.7 Å³/atom
Space group ... I-42d, No. 122

---

(17)
First-principles (PBE-GGA) data for crystalline La2TbPrS4 at its relaxed geometry, as listed in Alexandria via LeMat-Bulk.

Geometry as POSCAR:
```
La2TbPrS4
1.0
4.058 0.000 0.000
0.000 7.096 0.139
0.000 -2.463 6.658
La Tb Pr S
2 1 1 4
direct
0.500 0.000 0.500
0.000 0.500 0.500
0.000 0.000 0.000
0.500 0.500 0.000
0.500 0.238 0.236
0.500 0.762 0.764
0.000 0.245 0.758
0.000 0.755 0.242
```

## Properties
Size of the total moment ... 0.000 μB/atom
Theoretical density ... 6.07 g/cm3
Energy ... -52.494 eV per cell
Volume ... 24.1 Å³/atom
Space group ... P2/m, No. 10

---

(18)
First-principles (PBE-GGA) data for crystalline PmIn2SnTe4 at its relaxed geometry, as listed in Alexandria via LeMat-Bulk.

Geometry as POSCAR:
```
PmIn2SnTe4
1.0
-4.149 0.732 -1.517
-2.899 -5.217 5.408
-1.759 3.877 6.680
Pm In Sn Te
1 2 1 4
direct
0.000 0.500 0.500
0.000 0.000 0.000
0.500 0.000 0.500
0.500 0.500 0.000
0.000 0.742 0.745
0.000 0.258 0.255
0.500 0.737 0.258
0.500 0.263 0.742
```

## Properties
Size of the total moment ... 0.000 μB/atom
Theoretical density ... 6.18 g/cm3
Energy ... -31.668 eV per cell
Volume ... 33.7 Å³/atom
Space group ... P2/m, No. 10

---

(19)
First-principles (PBE-GGA) data for crystalline Na2FeCl4 at its relaxed geometry, as listed in Alexandria via LeMat-Bulk.

Geometry as POSCAR:
```
Na2FeCl4
1.0
3.629 0.000 0.000
0.000 7.586 -0.551
-1.814 -4.262 5.471
Na Fe Cl
2 1 4
direct
0.653 0.628 0.307
0.347 0.372 0.693
0.000 0.000 0.000
0.947 0.232 0.893
0.053 0.768 0.107
0.645 0.229 0.291
0.355 0.771 0.709
```

## Properties
Size of the total moment ... 0.010 μB/atom
Theoretical density ... 2.85 g/cm3
Energy ... -26.230 eV per cell
Volume ... 20.3 Å³/atom
Space group ... C2/m, No. 12

---

(20)
First-principles (PBE-GGA) data for crystalline V4Re3Mo at its relaxed geometry, as listed in Alexandria via LeMat-Bulk.

Geometry as POSCAR:
```
V4Re3Mo
1.0
-0.988 3.991 -3.141
-5.008 -0.202 1.318
1.499 5.519 6.543
V Re Mo
8 6 2
direct
0.307 0.742 0.000
0.322 0.247 0.000
0.065 0.418 0.250
0.565 0.582 0.250
0.822 0.753 0.500
0.807 0.258 0.500
0.565 0.582 0.750
0.065 0.418 0.750
0.806 0.750 0.000
0.064 0.910 0.249
0.564 0.090 0.251
0.306 0.250 0.500
0.564 0.090 0.749
0.064 0.910 0.751
0.821 0.258 0.000
0.321 0.742 0.500
```

## Properties
Size of the total moment ... 0.000 μB/atom
Theoretical density ... 12.23 g/cm3
Energy ... -170.106 eV per cell
Volume ... 14.6 Å³/atom
Space group ... Pmn2_1, No. 31

---

(21)
First-principles (PBE-GGA) data for crystalline U6TlSe12 at its relaxed geometry, as listed in Alexandria via LeMat-Bulk.

Geometry as POSCAR:
```
U6TlSe12
1.0
-5.512 -6.439 -0.053
6.681 -2.784 4.412
-3.563 5.981 4.835
U Tl Se
6 1 12
direct
0.665 0.257 0.257
0.257 0.257 0.665
0.257 0.665 0.257
0.743 0.743 0.335
0.335 0.743 0.743
0.743 0.335 0.743
0.000 0.000 0.000
0.872 0.128 0.500
0.823 0.564 0.564
0.564 0.564 0.823
0.436 0.177 0.436
0.436 0.436 0.177
0.177 0.436 0.436
0.128 0.500 0.872
0.500 0.872 0.128
0.128 0.872 0.500
0.872 0.500 0.128
0.500 0.128 0.872
0.564 0.823 0.564
```

## Properties
Size of the total moment ... 0.684 μB/atom
Theoretical density ... 8.13 g/cm3
Energy ... -130.090 eV per cell
Volume ... 27.8 Å³/atom
Space group ... R-3m, No. 166

---

(22)
First-principles (PBE-GGA) data for crystalline MnIn2Ni at its relaxed geometry, as listed in Alexandria via LeMat-Bulk.

Geometry as POSCAR:
```
MnIn2Ni
1.0
8.681 -0.025 -0.015
8.133 3.035 -0.015
8.133 1.456 2.663
In Mn Ni
2 1 1
direct
0.005 0.005 0.005
0.495 0.495 0.495
0.250 0.250 0.250
0.750 0.750 0.750
```

## Properties
Size of the total moment ... 0.816 μB/atom
Theoretical density ... 8.02 g/cm3
Energy ... -19.523 eV per cell
Volume ... 17.8 Å³/atom
Space group ... R-3m, No. 166